# 1
The following is a DFT calculation (PBE-GGA) of a geometry-optimized ZrTl3Cu structure.

POSCAR file:
```
ZrTl3Cu
1.0
5.695 0.000 0.000
0.000 5.695 0.000
0.000 0.000 5.695
Zr Tl Cu
1 3 1
Cartesian
0.000 0.000 0.000
0.000 0.000 2.848
0.000 2.848 0.000
2.848 0.000 0.000
2.848 2.848 2.848
```

Output
* crystal system: cubic
* ΔE to the lowest computed polymorph: 0.347 eV/atom
* mass density: 6.90 g/cm³
* formation energy from the elements: 4.6 eV/f.u.
* volume: 36.947 Å³/atom
* final energy: -15.10 eV per cell
* DOS(E_F): 5.829 states/eV/cell


# 2
The following is a DFT calculation (PBE-GGA) of a geometry-optimized ZrTlCu2 structure.

POSCAR file:
```
ZrTlCu2
1.0
1.628 0.940 8.298
-1.628 0.940 8.298
0.000 -1.880 8.298
Zr Tl Cu
1 1 2
Cartesian
0.000 0.000 0.000
0.000 0.000 19.221
0.000 0.000 6.287
0.000 0.000 12.998
```

Output
* crystal system: trigonal
* mass density: 9.21 g/cm³
* formation energy from the elements: 1.0 eV/f.u.
* volume: 19.043 Å³/atom
* final energy: -18.14 eV per cell
* DOS(E_F): 2.629 states/eV/cell


# 3
The following is a DFT calculation (PBE-GGA) of a geometry-optimized ZrTlCu2 structure.

POSCAR file:
```
ZrTlCu2
1.0
4.486 -1.686 0.000
4.486 1.686 0.000
-1.507 0.000 4.839
Zr Tl Cu
1 1 2
Cartesian
0.000 0.000 0.000
1.000 0.000 3.188
3.578 0.000 2.111
6.426 0.000 1.060
```

Output
* crystal system: monoclinic
* mass density: 9.59 g/cm³
* formation energy from the elements: 0.6 eV/f.u.
* volume: 18.301 Å³/atom
* final energy: -18.50 eV per cell
* DOS(E_F): 3.262 states/eV/cell


# 4
The following is a DFT calculation (PBE-GGA) of a geometry-optimized Zr12Tl3Cu structure.

POSCAR file:
```
Zr12Tl3Cu
1.0
4.463 0.000 0.000
0.000 4.463 0.000
0.000 0.000 17.719
Zr Tl Cu
12 3 1
Cartesian
0.000 0.000 0.000
0.000 0.000 4.326
0.000 0.000 8.860
0.000 0.000 13.393
0.000 2.231 2.058
0.000 2.231 6.602
0.000 2.231 11.118
0.000 2.231 15.661
2.231 0.000 2.058
2.231 0.000 6.602
2.231 0.000 11.118
2.231 0.000 15.661
2.231 2.231 4.324
2.231 2.231 8.860
2.231 2.231 13.395
2.231 2.231 0.000
```

Output
* crystal system: tetragonal
* mass density: 8.34 g/cm³
* formation energy from the elements: -1.2 eV/f.u.
* volume: 22.055 Å³/atom
* final energy: -114.99 eV per cell
* DOS(E_F): 15.325 states/eV/cell


# 5
The following is a DFT calculation (PBE-GGA) of a geometry-optimized ZrTl3Cu structure.

POSCAR file:
```
ZrTl3Cu
1.0
5.071 0.000 0.000
0.000 5.071 0.000
0.000 0.000 5.071
Zr Tl Cu
1 3 1
Cartesian
0.000 0.000 0.000
0.000 2.535 2.535
2.535 0.000 2.535
2.535 2.535 0.000
2.535 2.535 2.535
```

Output
* crystal system: cubic
* ΔE to the lowest computed polymorph: 0.000 eV/atom
* mass density: 9.78 g/cm³
* formation energy from the elements: 2.9 eV/f.u.
* volume: 26.076 Å³/atom
* final energy: -16.84 eV per cell
* DOS(E_F): 2.644 states/eV/cell


# 6
The following is a DFT calculation (PBE-GGA) of a geometry-optimized ZrTlCu2 structure.

POSCAR file:
```
ZrTlCu2
1.0
0.000 3.286 3.286
3.286 0.000 3.286
3.286 3.286 0.000
Zr Tl Cu
1 1 2
Cartesian
0.000 0.000 0.000
1.643 1.643 1.643
3.286 3.286 3.286
4.929 4.929 4.929
```

Output
* crystal system: cubic
* mass density: 9.89 g/cm³
* formation energy from the elements: 0.5 eV/f.u.
* volume: 17.745 Å³/atom
* final energy: -18.60 eV per cell
* DOS(E_F): 1.598 states/eV/cell


# 7
The following is a DFT calculation (PBE-GGA) of a geometry-optimized ZrTlCu2 structure.

POSCAR file:
```
ZrTlCu2
1.0
1.643 0.948 8.407
-1.643 0.948 8.407
0.000 -1.897 8.407
Zr Tl Cu
1 1 2
Cartesian
0.000 0.000 0.000
0.000 0.000 12.610
0.000 0.000 6.365
0.000 0.000 18.855
```

Output
* crystal system: trigonal
* mass density: 8.93 g/cm³
* formation energy from the elements: 1.0 eV/f.u.
* volume: 19.649 Å³/atom
* final energy: -18.12 eV per cell
* DOS(E_F): 1.601 states/eV/cell


# 8
The following is a DFT calculation (PBE-GGA) of a geometry-optimized Zr2TlCu2 structure.

POSCAR file:
```
Zr2TlCu2
1.0
-2.167 2.167 5.472
2.167 -2.167 5.472
2.167 2.167 -5.472
Zr Tl Cu
2 1 2
Cartesian
2.167 0.000 2.736
0.000 2.167 2.736
0.000 0.000 0.000
0.000 0.000 4.342
0.000 0.000 6.602
```

Output
* crystal system: tetragonal
* mass density: 8.30 g/cm³
* formation energy from the elements: 0.9 eV/f.u.
* volume: 20.556 Å³/atom
* final energy: -26.77 eV per cell
* DOS(E_F): 5.253 states/eV/cell